(1)
DFT (GGA-PBE) results for crystalline CoPb3 at its relaxed geometry.

a b c (Å): 5.131 5.131 5.131
angles (deg): 90.00 90.00 90.00
Sites, in units of the cell vectors:
Pb 0.500 0.000 0.000
Co 0.000 0.000 0.000
Pb 0.000 0.000 0.500
Pb 0.000 0.500 0.000

Results
Calculated formation energy   1.58 eV per formula unit
Electronic total energy   -4.16 eV/atom
Crystal system   cubic

***

(2)
DFT (GGA-PBE) results for crystalline MgTlTe2 at its relaxed geometry.

a b c (Å): 8.907 8.907 8.907
angles (deg): 152.70 152.70 38.99
Sites, in units of the cell vectors:
Te 0.250 0.750 0.500
Tl 0.500 0.500 0.000
Te 0.000 0.000 0.000
Mg 0.750 0.250 0.500

Results
Electronic total energy   -2.76 eV/atom
Crystal system   tetragonal

***

(3)
DFT (GGA-PBE) results for crystalline Gd2ThFe at its relaxed geometry.

a b c (Å): 3.471 3.471 8.716
angles (deg): 90.00 90.00 90.00
Sites, in units of the cell vectors:
Gd 0.000 0.000 0.191
Gd 0.000 0.000 0.809
Fe 0.500 0.500 0.000
Th 0.500 0.500 0.500

Results
Calculated formation energy   0.48 eV per formula unit
Electronic total energy   -10.89 eV/atom
Relative energy among the computed polymorphs   0.000 eV per atom
Crystal system   tetragonal

***

(4)
DFT (GGA-PBE) results for crystalline NiPt2Au2 at its relaxed geometry.

a b c (Å): 6.488 6.488 4.100
angles (deg): 90.00 90.00 90.00
Sites, in units of the cell vectors:
Au 0.837 0.337 0.500
Pt 0.856 0.644 0.000
Ni 0.500 0.500 0.000
Pt 0.144 0.356 0.000
Ni 0.000 0.000 0.000
Au 0.163 0.663 0.500
Pt 0.356 0.856 0.000
Au 0.663 0.837 0.500
Au 0.337 0.163 0.500
Pt 0.644 0.144 0.000

Results
Calculated formation energy   1.35 eV per formula unit
Electronic total energy   -4.61 eV/atom
Relative energy among the computed polymorphs   0.000 eV per atom
Crystal system   tetragonal

***

(5)
DFT (GGA-PBE) results for crystalline LaScCu2 at its relaxed geometry.

a b c (Å): 5.643 5.643 4.869
angles (deg): 72.23 72.23 33.97
Sites, in units of the cell vectors:
Cu 0.037 0.037 0.008
La 0.477 0.477 0.546
Cu 0.716 0.716 0.755
Sc 0.270 0.270 0.191

Results
Calculated formation energy   -0.10 eV per formula unit
Electronic total energy   -4.89 eV/atom
Relative energy among the computed polymorphs   0.166 eV per atom
Crystal system   monoclinic

***

(6)
DFT (GGA-PBE) results for crystalline ThGa8Cu4 at its relaxed geometry.

a b c (Å): 5.303 6.853 6.853
angles (deg): 81.39 67.24 67.24
Sites, in units of the cell vectors:
Ga 0.348 0.652 0.652
Ga 0.000 0.652 0.348
Ga 0.283 0.217 0.217
Cu 0.000 0.000 0.500
Ga 0.500 0.783 0.217
Th 0.000 0.000 0.000
Cu 0.000 0.500 0.000
Cu 0.500 0.000 0.500
Ga 0.000 0.348 0.652
Cu 0.500 0.500 0.000
Ga 0.717 0.783 0.783
Ga 0.500 0.217 0.783
Ga 0.652 0.348 0.348

Results
Calculated formation energy   -2.76 eV per formula unit
Electronic total energy   -3.91 eV/atom
Crystal system   tetragonal

***

(7)
DFT (GGA-PBE) results for crystalline KLaZn2 at its relaxed geometry.

a b c (Å): 6.516 6.516 6.516
angles (deg): 148.37 129.54 60.79
Sites, in units of the cell vectors:
La 0.216 0.716 0.500
Zn 0.796 0.296 0.500
K 0.522 0.522 0.000
Zn 0.966 0.966 0.000

Results
Calculated formation energy   0.24 eV per formula unit
Electronic total energy   -2.08 eV/atom
Relative energy among the computed polymorphs   0.099 eV per atom
Crystal system   orthorhombic

***

(8)
DFT (GGA-PBE) results for crystalline SrLiH3 at its relaxed geometry.

a b c (Å): 4.121 4.121 10.414
angles (deg): 78.59 78.59 90.00
Sites, in units of the cell vectors:
H 0.692 0.692 0.616
H 0.277 0.878 0.243
H 0.480 0.878 0.243
H 0.122 0.520 0.757
H 0.308 0.308 0.384
Sr 0.000 0.000 0.000
Sr 0.250 0.750 0.500
Li 0.653 0.153 0.694
H 0.122 0.723 0.757
Li 0.847 0.347 0.306

Results
Electronic total energy   -2.73 eV/atom
Relative energy among the computed polymorphs   0.525 eV per atom
Crystal system   tetragonal

***

(9)
DFT (GGA-PBE) results for crystalline CaHgTeI2 at its relaxed geometry.

a b c (Å): 6.087 6.087 6.394
angles (deg): 90.00 90.00 90.00
Sites, in units of the cell vectors:
Ca 0.000 0.000 0.000
I 0.500 0.000 0.000
Hg 0.500 0.500 0.500
I 0.000 0.500 0.000
Te 0.000 0.000 0.500

Results
Electronic total energy   -2.19 eV/atom
Relative energy among the computed polymorphs   0.000 eV per atom
Crystal system   tetragonal

***

(10)
DFT (GGA-PBE) results for crystalline TbHo4Th2 at its relaxed geometry.

a b c (Å): 5.528 5.528 9.225
angles (deg): 107.44 107.44 90.00
Sites, in units of the cell vectors:
Ho 0.500 0.000 0.000
Ho 0.000 0.500 0.000
Tb 0.000 0.000 0.000
Th 0.386 0.386 0.772
Ho 0.180 0.180 0.361
Ho 0.820 0.820 0.639
Th 0.614 0.614 0.228

Results
Calculated formation energy   5.68 eV per formula unit
Electronic total energy   -4.59 eV/atom
Relative energy among the computed polymorphs   0.695 eV per atom
Crystal system   tetragonal

***

(11)
DFT (GGA-PBE) results for crystalline La3ThSn4 at its relaxed geometry.

a b c (Å): 3.843 7.374 10.139
angles (deg): 111.32 100.92 90.00
Sites, in units of the cell vectors:
La 0.790 0.790 0.580
Sn 0.371 0.168 0.742
Sn 0.629 0.426 0.258
La 0.000 0.500 0.000
Sn 0.629 0.832 0.258
Sn 0.371 0.574 0.742
La 0.210 0.210 0.420
Th 0.500 0.000 0.000

Results
Calculated formation energy   -4.30 eV per formula unit
Electronic total energy   -5.31 eV/atom
Crystal system   orthorhombic

***

(12)
DFT (GGA-PBE) results for crystalline BaGeO4 at its relaxed geometry.

a b c (Å): 7.337 7.164 7.582
angles (deg): 91.41 87.91 96.56
Sites, in units of the cell vectors:
O 0.794 0.424 0.938
Ge 0.372 0.744 0.165
O 0.935 0.646 0.511
O 0.255 0.955 0.570
Ba 0.411 0.250 0.341
O 0.206 0.576 0.062
O 0.781 0.106 0.722
O 0.545 0.854 0.020
O 0.455 0.146 0.980
O 0.044 0.128 0.173
O 0.745 0.045 0.430
Ba 0.130 0.262 0.836
O 0.512 0.364 0.676
Ba 0.870 0.738 0.164
O 0.219 0.894 0.278
O 0.488 0.636 0.324
Ge 0.908 0.230 0.343
Ge 0.628 0.256 0.835
O 0.766 0.372 0.233
O 0.956 0.872 0.827
Ba 0.589 0.750 0.659
O 0.234 0.628 0.767
O 0.065 0.354 0.489
Ge 0.092 0.770 0.657

Results
Electronic total energy   -5.91 eV/atom
Crystal system   triclinic

***

(13)
DFT (GGA-PBE) results for crystalline Ta2WAu at its relaxed geometry.

a b c (Å): 2.807 2.807 9.218
angles (deg): 90.00 90.00 105.74
Sites, in units of the cell vectors:
W 0.000 0.000 0.498
Au 0.500 0.500 0.748
Ta 0.500 0.500 0.254
Ta 0.000 0.000 0.000

Results
Calculated formation energy   0.24 eV per formula unit
Electronic total energy   -9.92 eV/atom
Relative energy among the computed polymorphs   0.106 eV per atom
Crystal system   orthorhombic

***

(14)
DFT (GGA-PBE) results for crystalline Mg6Al2Pb at its relaxed geometry.

a b c (Å): 4.707 9.758 9.758
angles (deg): 69.37 90.00 90.00
Sites, in units of the cell vectors:
Mg 0.250 0.012 0.179
Mg 0.750 0.474 0.723
Mg 0.250 0.821 0.988
Mg 0.250 0.526 0.277
Al 0.250 0.216 0.343
Mg 0.750 0.017 0.382
Pb 0.250 0.216 0.784
Al 0.750 0.784 0.657
Mg 0.750 0.618 0.983
Pb 0.750 0.784 0.216
Mg 0.250 0.983 0.618
Mg 0.750 0.179 0.012
Mg 0.250 0.723 0.474
Mg 0.250 0.382 0.017
Al 0.250 0.657 0.784
Mg 0.750 0.277 0.526
Mg 0.750 0.988 0.821
Al 0.750 0.343 0.216

Results
Calculated formation energy   0.46 eV per formula unit
Electronic total energy   -2.26 eV/atom
Crystal system   orthorhombic

***

(15)
DFT (GGA-PBE) results for crystalline BaAu3N at its relaxed geometry.

a b c (Å): 4.762 4.762 4.762
angles (deg): 90.00 90.00 90.00
Sites, in units of the cell vectors:
Au 0.000 0.500 0.000
Au 0.000 0.000 0.500
N 0.000 0.000 0.000
Au 0.500 0.000 0.000
Ba 0.500 0.500 0.500

Results
Electronic total energy   -3.75 eV/atom
Relative energy among the computed polymorphs   0.000 eV per atom
Crystal system   cubic

***

(16)
DFT (GGA-PBE) results for crystalline Pm2GeBr at its relaxed geometry.

a b c (Å): 4.281 4.281 7.624
angles (deg): 90.00 106.30 120.01
Sites, in units of the cell vectors:
Pm 0.525 0.762 0.287
Ge 0.000 0.500 0.500
Br 0.000 0.000 0.000
Pm 0.475 0.238 0.713

Results
Electronic total energy   -5.10 eV/atom
Relative energy among the computed polymorphs   0.000 eV per atom
Crystal system   trigonal

***

(17)
DFT (GGA-PBE) results for crystalline ScBi2Pd at its relaxed geometry.

a b c (Å): 5.114 5.114 5.114
angles (deg): 60.00 60.00 60.00
Sites, in units of the cell vectors:
Sc 0.000 0.000 0.000
Pd 0.500 0.500 0.500
Bi 0.750 0.750 0.750
Bi 0.250 0.250 0.250

Results
Calculated formation energy   -1.02 eV per formula unit
Electronic total energy   -5.08 eV/atom
Crystal system   cubic

***

(18)
DFT (GGA-PBE) results for crystalline NdHoTh2S4 at its relaxed geometry.

a b c (Å): 4.002 6.869 7.027
angles (deg): 109.21 90.00 90.00
Sites, in units of the cell vectors:
S 0.000 0.261 0.762
Th 0.000 0.500 0.500
Th 0.500 0.000 0.500
S 0.500 0.256 0.244
Ho 0.500 0.500 0.000
Nd 0.000 0.000 0.000
S 0.500 0.744 0.756
S 0.000 0.739 0.238

Results
Electronic total energy   -6.99 eV/atom
Crystal system   monoclinic

***

(19)
DFT (GGA-PBE) results for crystalline SrCa2BiPd at its relaxed geometry.

a b c (Å): 5.507 5.507 5.766
angles (deg): 90.00 90.00 90.00
Sites, in units of the cell vectors:
Ca 0.500 0.000 0.000
Ca 0.000 0.500 0.000
Pd 0.000 0.000 0.000
Bi 0.500 0.500 0.500
Sr 0.000 0.000 0.500

Results
Calculated formation energy   -2.66 eV per formula unit
Electronic total energy   -3.48 eV/atom
Crystal system   tetragonal

***

(20)
DFT (GGA-PBE) results for crystalline Nd4ZrPa3P8 at its relaxed geometry.

a b c (Å): 8.035 8.092 8.036
angles (deg): 119.78 119.99 90.00
Sites, in units of the cell vectors:
Pa 0.500 0.500 0.500
P 0.255 0.265 0.510
P 0.745 0.735 0.490
Nd 0.500 0.000 0.500
P 0.759 0.271 0.012
P 0.241 0.729 0.482
P 0.747 0.729 0.988
P 0.253 0.271 0.012
P 0.241 0.729 0.988
Nd 0.500 0.000 0.000
Zr 0.000 0.500 0.000
Nd 0.000 0.000 0.500
Nd 0.000 0.000 0.000
Pa 0.500 0.500 0.000
Pa 0.000 0.500 0.500
P 0.759 0.271 0.518

Results
Calculated formation energy   -22.90 eV per formula unit
Electronic total energy   -7.64 eV/atom
Crystal system   trigonal

***

(21)
DFT (GGA-PBE) results for crystalline Sm3GaHg2Rh3 at its relaxed geometry.

a b c (Å): 3.702 7.739 7.739
angles (deg): 120.00 90.00 90.00
Sites, in units of the cell vectors:
Sm 0.000 0.626 0.626
Sm 0.000 0.000 0.374
Rh 0.500 0.769 0.000
Sm 0.000 0.374 0.000
Rh 0.500 0.231 0.231
Hg 0.500 0.667 0.333
Rh 0.500 0.000 0.769
Ga 0.000 0.000 0.000
Hg 0.500 0.333 0.667

Results
Calculated formation energy   -5.23 eV per formula unit
Electronic total energy   -5.01 eV/atom
Crystal system   hexagonal

***

(22)
DFT (GGA-PBE) results for crystalline ThGaHgPd at its relaxed geometry.

a b c (Å): 4.963 4.963 4.963
angles (deg): 60.00 60.00 60.00
Sites, in units of the cell vectors:
Pd 0.750 0.750 0.750
Ga 0.250 0.250 0.250
Th 0.000 0.000 0.000
Hg 0.500 0.500 0.500

Results
Calculated formation energy   -1.82 eV per formula unit
Electronic total energy   -4.44 eV/atom
Crystal system   cubic

***

(23)
DFT (GGA-PBE) results for crystalline NaMg2H8Ru at its relaxed geometry.

a b c (Å): 4.602 4.602 6.286
angles (deg): 90.00 90.00 120.00
Sites, in units of the cell vectors:
Mg 0.333 0.667 0.862
Ru 0.000 0.000 0.000
H 0.171 0.829 0.160
H 0.829 0.171 0.840
H 0.658 0.829 0.160
Na 0.000 0.000 0.500
Mg 0.667 0.333 0.138
H 0.667 0.333 0.445
H 0.333 0.667 0.555
H 0.171 0.342 0.160
H 0.342 0.171 0.840
H 0.829 0.658 0.840

Results
Electronic total energy   -3.50 eV/atom
Crystal system   trigonal

***

(24)
DFT (GGA-PBE) results for crystalline TbSmCd at its relaxed geometry.

a b c (Å): 5.205 5.199 5.199
angles (deg): 60.08 59.96 59.96
Sites, in units of the cell vectors:
Tb 0.250 0.250 0.250
Sm 0.750 0.750 0.750
Cd 0.000 0.000 0.000

Results
Calculated formation energy   0.29 eV per formula unit
Electronic total energy   -3.33 eV/atom
Relative energy among the computed polymorphs   0.293 eV per atom
Crystal system   tetragonal

***

(25)
DFT (GGA-PBE) results for crystalline ReOsAu2 at its relaxed geometry.

a b c (Å): 4.176 3.921 3.921
angles (deg): 90.00 90.00 90.00
Sites, in units of the cell vectors:
Au 0.000 0.500 0.500
Re 0.500 0.000 0.500
Os 0.500 0.500 0.000
Au 0.000 0.000 0.000

Results
Calculated formation energy   3.05 eV per formula unit
Electronic total energy   -6.79 eV/atom
Relative energy among the computed polymorphs   0.546 eV per atom
Crystal system   tetragonal